DFT (SCAN) results for a crystal of Ba2TlOs relaxed with PBEsol.

CIF file:
```
data_Ba2TlOs
_space_group_name_H-M_alt 'F m -3 m'
_space_group_IT_number 225
_space_group_name_Hall '-F 4 2 3'
_cell_length_a 7.780
_cell_length_b 7.780
_cell_length_c 7.780
_cell_angle_alpha 90.00
_cell_angle_beta 90.00
_cell_angle_gamma 90.00
loop_
_atom_site_label
_atom_site_type_symbol
_atom_site_fract_x
_atom_site_fract_y
_atom_site_fract_z
Ba1 Ba 0.250 0.250 0.250
Tl1 Tl 0.000 0.000 0.000
Os1 Os 0.000 0.000 0.500
```

Output
The calculation puts the total energy at -55.333 eV per atom. The calculation puts the calculated formation energy at 0.501 eV/atom. Its total magnetic moment is 0.0 Bohr magnetons per cell.

DFT (SCAN) results for a crystal of KP2W relaxed with PBEsol.

CIF file:
```
data_KP2W
_space_group_name_H-M_alt 'R -3 m'
_space_group_IT_number 166
_space_group_name_Hall '-R 3 2"'
_cell_length_a 3.3313
_cell_length_b 3.3313
_cell_length_c 24.0484
_cell_angle_alpha 90.00
_cell_angle_beta 90.00
_cell_angle_gamma 120.00
loop_
_atom_site_label
_atom_site_type_symbol
_atom_site_fract_x
_atom_site_fract_y
_atom_site_fract_z
K1 K 0.0000 0.0000 0.0000
P1 P 0.0000 0.0000 0.2306
W1 W 0.0000 0.0000 0.5000
```

Output
The calculation puts the total energy at -24.918 eV per atom. The calculation puts the calculated formation energy at -0.214 eV/atom. Its total magnetic moment is 0.0 Bohr magnetons per cell.

- What is the total energy in the second record?
  -24.918 eV per atom

- Which value of total magnetic moment does entry 1 give?
  0.0 Bohr magnetons per cell

Please write out number 2 again, unchanged.
DFT (SCAN) results for a crystal of KP2W relaxed with PBEsol.

CIF file:
```
data_KP2W
_space_group_name_H-M_alt 'R -3 m'
_space_group_IT_number 166
_space_group_name_Hall '-R 3 2"'
_cell_length_a 3.3313
_cell_length_b 3.3313
_cell_length_c 24.0484
_cell_angle_alpha 90.00
_cell_angle_beta 90.00
_cell_angle_gamma 120.00
loop_
_atom_site_label
_atom_site_type_symbol
_atom_site_fract_x
_atom_site_fract_y
_atom_site_fract_z
K1 K 0.0000 0.0000 0.0000
P1 P 0.0000 0.0000 0.2306
W1 W 0.0000 0.0000 0.5000
```

Output
The calculation puts the total energy at -24.918 eV per atom. The calculation puts the calculated formation energy at -0.214 eV/atom. Its total magnetic moment is 0.0 Bohr magnetons per cell.

- Which value of total magnetic moment does entry 1 give?
  0.0 Bohr magnetons per cell